1.
This record from Alexandria describes PmZn6Au6 after structural relaxation. The functional is PBE-GGA.

The structure belongs to space group Immm (No. 71); the cell edges are 5.2694, 9.1112 and 9.4658 Å and the angles 90.00°, 90.00° and 90.00°. The inequivalent atoms are Pm at (0.0000, 0.0000, 0.0000), Zn at (0.0000, 0.2585, 0.5000), Zn at (0.2500, 0.2500, 0.2500), Au at (0.0000, 0.0000, 0.3414), Au at (0.0000, 0.3374, 0.0000) and Au at (0.0000, 0.5000, 0.3221).

For the formation energy from the elements, the calculation gives -0.359 eV per atom. The density comes out at 12.6 g cm⁻³. The value obtained for the total energy is -36.73 eV per formula unit. Its density of states at the Fermi level is 8.615 states/eV/cell.


2.
This record from Alexandria describes PmZn2Au4 after structural relaxation. The functional is PBE-GGA.

The structure belongs to space group C2/m (No. 12); the cell edges are 8.8483, 7.0044 and 5.3573 Å and the angles 90.00°, 126.49° and 90.00°. The inequivalent atoms are Pm at (0.0000, 0.0000, 0.0000), Zn at (0.9997, 0.5000, 0.2484) and Au at (0.1976, 0.2002, 0.6979).

For the formation energy from the elements, the calculation gives -0.517 eV per atom. The density comes out at 13.2 g cm⁻³. The value obtained for the total energy is -24.03 eV per formula unit. Its density of states at the Fermi level is 5.173 states/eV/cell.


3.
This record from Alexandria describes PmZn4Au after structural relaxation. The functional is PBE-GGA.

The structure belongs to space group F-43m (No. 216); the cell edges are 7.5874, 7.5874 and 7.5874 Å and the angles 90.00°, 90.00° and 90.00°. The inequivalent atoms are Pm at (0.0000, 0.0000, 0.0000), Zn at (0.1246, 0.1246, 0.6246) and Au at (0.2500, 0.2500, 0.2500).

For the formation energy from the elements, the calculation gives -0.223 eV per atom. The density comes out at 9.2 g cm⁻³. The value obtained for the total energy is -14.46 eV per formula unit. Its density of states at the Fermi level is 20.717 states/eV/cell. The value obtained for the excess energy over the best structure of this formula in the dataset is 103 meV per atom.


4.
This record from Alexandria describes PmZn2Au after structural relaxation. The functional is PBE-GGA.

The structure belongs to space group Pnma (No. 62); the cell edges are 8.6598, 6.8961 and 5.4653 Å and the angles 90.00°, 90.00° and 90.00°. The inequivalent atoms are Pm at (0.0580, 0.2500, 0.1445), Zn at (0.1838, 0.0537, 0.6286) and Au at (0.0939, 0.7500, 0.3548).

For the formation energy from the elements, the calculation gives -0.472 eV per atom. The density comes out at 9.6 g cm⁻³. The value obtained for the total energy is -12.46 eV per formula unit. Its density of states at the Fermi level is 8.021 states/eV/cell. The value obtained for the excess energy over the best structure of this formula in the dataset is 20 meV per atom.


5.
This record from Alexandria describes PmZnAu after structural relaxation. The functional is PBE-GGA.

The structure belongs to space group F-43m (No. 216); the cell edges are 6.7342, 6.7342 and 6.7342 Å and the angles 90.00°, 90.00° and 90.00°. The inequivalent atoms are Pm at (0.0000, 0.0000, 0.0000), Zn at (0.0000, 0.0000, 0.5000) and Au at (0.2500, 0.2500, 0.2500).

For the formation energy from the elements, the calculation gives -0.459 eV per atom. The density comes out at 8.9 g cm⁻³. The value obtained for the total energy is -10.68 eV per formula unit. Its density of states at the Fermi level is 16.155 states/eV/cell. The value obtained for the excess energy over the best structure of this formula in the dataset is 194 meV per atom.


6.
This record from Alexandria describes Pm3ZnAu3 after structural relaxation. The functional is PBE-GGA.

The structure belongs to space group P6_3/m (No. 176); the cell edges are 8.8671, 8.8671 and 6.0022 Å and the angles 90.00°, 90.00° and 120.00°. The inequivalent atoms are Pm at (0.0416, 0.3672, 0.2500), Zn at (0.3333, 0.6667, 0.7500) and Au at (0.0396, 0.3472, 0.7500).

For the formation energy from the elements, the calculation gives -0.475 eV per atom. The density comes out at 8.9 g cm⁻³. The value obtained for the total energy is -28.68 eV per formula unit. Its density of states at the Fermi level is 12.961 states/eV/cell. The value obtained for the excess energy over the best structure of this formula in the dataset is 234 meV per atom.


7.
This record from Alexandria describes PmZnAu2 after structural relaxation. The functional is PBE-GGA.

The structure belongs to space group P4/mmm (No. 123); the cell edges are 3.4681, 3.4681 and 6.8933 Å and the angles 90.00°, 90.00° and 90.00°. The inequivalent atoms are Pm at (0.0000, 0.0000, 0.0000), Zn at (0.0000, 0.0000, 0.5000) and Au at (0.5000, 0.5000, 0.2853).

For the formation energy from the elements, the calculation gives -0.507 eV per atom. The density comes out at 12.1 g cm⁻³. The value obtained for the total energy is -14.61 eV per formula unit. Its density of states at the Fermi level is 2.475 states/eV/cell. The value obtained for the excess energy over the best structure of this formula in the dataset is 134 meV per atom.


8.
This record from Alexandria describes Pm5Zn2Au2 after structural relaxation. The functional is PBE-GGA.

The structure belongs to space group Cmce (No. 64); the cell edges are 16.8060, 7.5317 and 7.6927 Å and the angles 90.00°, 90.00° and 90.00°. The inequivalent atoms are Pm at (0.0000, 0.0000, 0.0000), Pm at (0.1418, 0.1754, 0.3261), Zn at (0.0000, 0.1158, 0.6202) and Au at (0.2106, 0.0000, 0.0000).

For the formation energy from the elements, the calculation gives -0.457 eV per atom. The density comes out at 8.5 g cm⁻³. The value obtained for the total energy is -36.97 eV per formula unit. Its density of states at the Fermi level is 42.931 states/eV/cell.


9.
This record from Alexandria describes Pm2Zn5Au12 after structural relaxation. The functional is PBE-GGA.

The structure belongs to space group R-3m (No. 166, hexagonal axes); the cell edges are 9.3638, 9.3638 and 14.3019 Å and the angles 90.00°, 90.00° and 120.00°. The inequivalent atoms are Pm at (0.0000, 0.0000, 0.1476), Zn at (0.0000, 0.0000, 0.4037), Zn at (0.0000, 0.5000, 0.0000), Au at (0.0000, 0.3059, 0.5000) and Au at (0.0151, 0.5076, 0.3482).

For the formation energy from the elements, the calculation gives -0.347 eV per atom. The density comes out at 13.7 g cm⁻³. The value obtained for the total energy is -61.79 eV per formula unit. Its density of states at the Fermi level is 21.879 states/eV/cell.


10.
This record from Alexandria describes Pm2ZnAu4 after structural relaxation. The functional is PBE-GGA.

The structure belongs to space group C2/m (No. 12); the cell edges are 8.8576, 5.2171 and 7.9579 Å and the angles 90.00°, 122.20° and 90.00°. The inequivalent atoms are Pm at (0.0647, 0.0000, 0.2820), Zn at (0.0000, 0.5000, 0.5000), Au at (0.1745, 0.5000, 0.8839) and Au at (0.2194, 0.5000, 0.2667).

For the formation energy from the elements, the calculation gives -0.648 eV per atom. The density comes out at 12.2 g cm⁻³. The value obtained for the total energy is -28.42 eV per formula unit. Its density of states at the Fermi level is 6.290 states/eV/cell.


11.
This record from Alexandria describes PmZnAu after structural relaxation. The functional is PBE-GGA.

The structure belongs to space group C2/m (No. 12); the cell edges are 10.5735, 4.6267 and 7.0785 Å and the angles 90.00°, 130.66° and 90.00°. The inequivalent atoms are Pm at (0.0306, 0.0000, 0.2863), Zn at (0.1597, 0.5000, 0.1158) and Au at (0.1766, 0.5000, 0.7091).

For the formation energy from the elements, the calculation gives -0.637 eV per atom. The density comes out at 10.3 g cm⁻³. The value obtained for the total energy is -11.21 eV per formula unit. Its density of states at the Fermi level is 6.451 states/eV/cell. The value obtained for the excess energy over the best structure of this formula in the dataset is 16 meV per atom.


Q: Among the records above, which one has the lowest formation energy from the elements?
A: Pm2ZnAu4


Q: The highest formation energy from the elements belongs to which entry?
A: PmZn4Au